The following is a PBE calculation of K3SrBe after structural relaxation, from Alexandria.

abc: 8.0944 8.0944 8.0944
angles: 90.00 90.00 90.00
Element x y z (fractional)
K (0.0000, 0.0000, 0.5000)
K (0.0000, 0.5000, 0.0000)
K (0.5000, 0.0000, 0.0000)
Sr (0.0000, 0.0000, 0.0000)
Be (0.5000, 0.5000, 0.5000)

**DOS(E_F)**: 5.092 states/eV/cell
**Size of the total moment**: 0.00 μB/cell
**Symmetry**: Pm-3m, No. 221
**E_form**: 1088 meV per atom
**Energy**: -0.6520 eV per atom